# 1
La2AsI | the Alexandria database | PBE-GGA | optimized geometry; ρ = 4.58 Mg/m³; Fermi-level density of states = 1.20 states/eV/atom; symmetry = I-42d (122); E_form (uncorrected) = -844 meV per atom
1.0
7.1367 0.0000 0.0000
0.0000 7.1367 0.0000
3.5684 3.5684 6.8226
As La I
2 4 2
Cartesian
3.5684 3.5684 0.0000
3.5684 7.1367 3.4113
8.9209 8.6148 5.1169
2.0903 5.3525 1.7056
5.3525 5.6587 5.1169
5.0464 1.7842 1.7056
7.1367 3.5684 3.4113
0.0000 0.0000 0.0000

=====

# 2
La7AsI12 | the Alexandria database | PBE-GGA | optimized geometry; ρ = 5.05 Mg/m³; Fermi-level density of states = 0.40 states/eV/atom; symmetry = R-3 (148); E_form (uncorrected) = -1463 meV per atom
1.0
-9.9838 1.5688 0.7592
1.4083 -9.0257 -4.3894
3.7993 -0.4749 9.3837
I La As
12 7 1
Cartesian
-6.2337 -1.0463 0.2395
-5.1872 -7.2634 -0.5231
0.4110 -0.6684 6.2766
-1.7703 -7.0992 2.4144
1.0656 -6.1853 -0.7857
-2.6427 -3.7129 -0.3302
-5.5807 -4.4327 2.9272
-3.0059 -0.8326 3.3391
-2.1336 -4.2189 6.0836
0.8045 -3.4990 2.8263
1.4574 -6.8855 5.5139
-5.8418 -1.7464 6.5391
0.1934 -0.2854 2.8957
-2.8762 -0.4724 0.0896
-1.9000 -7.4593 5.6638
-2.3881 -3.9659 2.8767
-5.2885 -5.0850 6.1241
0.5123 -2.8468 -0.3706
-4.9696 -7.6463 2.8578
0.0000 0.0000 0.0000